DFT (PBE) results for a relaxed Tl4Hg5Au crystal.

a b c (Å): 7.432 7.432 7.432
angles (deg): 101.05 101.05 128.07
Element x y z (fractional)
1 Tl 0.068 0.298 0.366
2 Tl 0.298 0.932 0.230
3 Tl 0.702 0.068 0.770
4 Tl 0.932 0.702 0.634
5 Hg 0.236 0.236 0.000
6 Hg 0.263 0.608 0.841
7 Hg 0.422 0.263 0.656
8 Hg 0.608 0.767 0.344
9 Hg 0.767 0.422 0.159
10 Au 0.776 0.776 0.000

Output
Energy of formation = 0.00 eV/atom
Crystal system = tetragonal
DOS at the Fermi energy = 3.18 states/eV/f.u.



DFT (PBE) results for a relaxed TlHgAu crystal.

a b c (Å): 6.907 6.907 6.907
angles (deg): 90.00 90.00 90.00
Element x y z (fractional)
1 Tl 0.000 0.000 0.000
2 Tl 0.000 0.500 0.500
3 Tl 0.500 0.000 0.500
4 Tl 0.500 0.500 0.000
5 Hg 0.000 0.000 0.500
6 Hg 0.000 0.500 0.000
7 Hg 0.500 0.000 0.000
8 Hg 0.500 0.500 0.500
9 Au 0.250 0.250 0.750
10 Au 0.250 0.750 0.250
11 Au 0.750 0.250 0.250
12 Au 0.750 0.750 0.750

Output
Energy of formation = -0.02 eV/atom
Energy relative to the lowest polymorph listed for this composition = 5 meV/atom
Crystal system = cubic
DOS at the Fermi energy = 0.56 states/eV/f.u.



DFT (PBE) results for a relaxed Tl5Hg4Au2 crystal.

a b c (Å): 7.902 17.962 4.285
angles (deg): 90.00 90.00 90.00
Element x y z (fractional)
1 Tl 0.000 0.000 0.000
2 Tl 0.111 0.417 0.000
3 Tl 0.230 0.212 0.000
4 Tl 0.270 0.712 0.000
5 Tl 0.389 0.917 0.000
6 Tl 0.500 0.500 0.000
7 Tl 0.611 0.083 0.000
8 Tl 0.730 0.288 0.000
9 Tl 0.770 0.788 0.000
10 Tl 0.889 0.583 0.000
11 Hg 0.093 0.855 0.500
12 Hg 0.218 0.562 0.500
13 Hg 0.282 0.062 0.500
14 Hg 0.407 0.355 0.500
15 Hg 0.593 0.645 0.500
16 Hg 0.718 0.938 0.500
17 Hg 0.782 0.438 0.500
18 Hg 0.907 0.145 0.500
19 Au 0.027 0.302 0.500
20 Au 0.473 0.802 0.500
21 Au 0.527 0.198 0.500
22 Au 0.973 0.698 0.500

Output
Energy of formation = -0.02 eV/atom
Crystal system = orthorhombic
DOS at the Fermi energy = 4.61 states/eV/f.u.



DFT (PBE) results for a relaxed Tl3Hg2Au3 crystal.

a b c (Å): 7.081 7.081 15.574
angles (deg): 90.00 90.00 148.41
Element x y z (fractional)
1 Tl 0.046 0.954 0.629
2 Tl 0.046 0.954 0.871
3 Tl 0.348 0.652 0.750
4 Tl 0.652 0.348 0.250
5 Tl 0.954 0.046 0.129
6 Tl 0.954 0.046 0.371
7 Hg 0.242 0.758 0.086
8 Hg 0.242 0.758 0.414
9 Hg 0.758 0.242 0.586
10 Hg 0.758 0.242 0.914
11 Au 0.342 0.658 0.250
12 Au 0.406 0.594 0.536
13 Au 0.406 0.594 0.964
14 Au 0.594 0.406 0.036
15 Au 0.594 0.406 0.464
16 Au 0.658 0.342 0.750

Output
Energy of formation = -0.01 eV/atom
Crystal system = orthorhombic
DOS at the Fermi energy = 2.84 states/eV/f.u.



DFT (PBE) results for a relaxed Tl2Hg3Au crystal.

a b c (Å): 13.581 4.980 9.822
angles (deg): 90.00 90.00 90.00
Element x y z (fractional)
1 Tl 0.046 0.250 0.171
2 Tl 0.185 0.750 0.372
3 Tl 0.315 0.250 0.872
4 Tl 0.454 0.750 0.671
5 Tl 0.546 0.250 0.329
6 Tl 0.685 0.750 0.128
7 Tl 0.815 0.250 0.628
8 Tl 0.954 0.750 0.829
9 Hg 0.066 0.250 0.559
10 Hg 0.179 0.750 0.030
11 Hg 0.192 0.750 0.705
12 Hg 0.308 0.250 0.205
13 Hg 0.321 0.250 0.530
14 Hg 0.434 0.750 0.059
15 Hg 0.566 0.250 0.941
16 Hg 0.679 0.750 0.470
17 Hg 0.692 0.750 0.795
18 Hg 0.808 0.250 0.295
19 Hg 0.821 0.250 0.970
20 Hg 0.934 0.750 0.441
21 Au 0.085 0.250 0.865
22 Au 0.415 0.750 0.365
23 Au 0.585 0.250 0.635
24 Au 0.915 0.750 0.135

Output
Energy of formation = -0.01 eV/atom
Energy relative to the lowest polymorph listed for this composition = 0 meV/atom
Crystal system = orthorhombic
DOS at the Fermi energy = 1.15 states/eV/f.u.



DFT (PBE) results for a relaxed Tl3Hg2Au7 crystal.

a b c (Å): 10.323 10.323 10.323
angles (deg): 31.90 31.90 31.90
Element x y z (fractional)
1 Tl 0.000 0.000 0.000
2 Tl 0.138 0.138 0.138
3 Tl 0.862 0.862 0.862
4 Hg 0.333 0.333 0.333
5 Hg 0.667 0.667 0.667
6 Au 0.084 0.587 0.587
7 Au 0.413 0.413 0.916
8 Au 0.413 0.916 0.413
9 Au 0.500 0.500 0.500
10 Au 0.587 0.084 0.587
11 Au 0.587 0.587 0.084
12 Au 0.916 0.413 0.413

Output
Energy of formation = 0.03 eV/atom
Crystal system = trigonal
DOS at the Fermi energy = 6.97 states/eV/f.u.



DFT (PBE) results for a relaxed Tl3Hg4Au2 crystal.

a b c (Å): 7.109 7.109 10.159
angles (deg): 119.67 119.67 33.61
Element x y z (fractional)
1 Tl 0.000 0.000 0.000
2 Tl 0.298 0.298 0.386
3 Tl 0.702 0.702 0.614
4 Hg 0.033 0.033 0.676
5 Hg 0.293 0.293 0.933
6 Hg 0.707 0.707 0.067
7 Hg 0.967 0.967 0.324
8 Au 0.399 0.399 0.730
9 Au 0.601 0.601 0.270

Output
Energy of formation = 0.00 eV/atom
Energy relative to the lowest polymorph listed for this composition = 5 meV/atom
Crystal system = monoclinic
DOS at the Fermi energy = 3.24 states/eV/f.u.



DFT (PBE) results for a relaxed TlHg3Au3 crystal.

a b c (Å): 7.947 7.947 7.947
angles (deg): 58.06 58.06 58.06
Element x y z (fractional)
1 Tl 0.096 0.096 0.096
2 Tl 0.904 0.904 0.904
3 Hg 0.133 0.604 0.604
4 Hg 0.396 0.396 0.867
5 Hg 0.396 0.867 0.396
6 Hg 0.604 0.133 0.604
7 Hg 0.604 0.604 0.133
8 Hg 0.867 0.396 0.396
9 Au 0.196 0.196 0.575
10 Au 0.196 0.575 0.196
11 Au 0.425 0.804 0.804
12 Au 0.575 0.196 0.196
13 Au 0.804 0.425 0.804
14 Au 0.804 0.804 0.425

Output
Energy of formation = 0.02 eV/atom
Energy relative to the lowest polymorph listed for this composition = 0 meV/atom
Crystal system = trigonal
DOS at the Fermi energy = 2.22 states/eV/f.u.



DFT (PBE) results for a relaxed Tl4Hg3Au3 crystal.

a b c (Å): 8.869 8.869 8.869
angles (deg): 109.47 109.47 109.47
Element x y z (fractional)
1 Tl 0.000 0.303 0.500
2 Tl 0.000 0.803 0.500
3 Tl 0.197 0.197 0.197
4 Tl 0.303 0.500 0.000
5 Tl 0.500 0.000 0.303
6 Tl 0.500 0.000 0.803
7 Tl 0.697 0.697 0.697
8 Tl 0.803 0.500 0.000
9 Hg 0.125 0.750 0.875
10 Hg 0.250 0.625 0.375
11 Hg 0.375 0.250 0.625
12 Hg 0.625 0.375 0.250
13 Hg 0.750 0.875 0.125
14 Hg 0.875 0.125 0.750
15 Au 0.125 0.875 0.250
16 Au 0.250 0.125 0.875
17 Au 0.375 0.625 0.750
18 Au 0.625 0.750 0.375
19 Au 0.750 0.375 0.625
20 Au 0.875 0.250 0.125

Output
Energy of formation = 0.00 eV/atom
Crystal system = cubic
DOS at the Fermi energy = 5.44 states/eV/f.u.



DFT (PBE) results for a relaxed TlHgAu2 crystal.

a b c (Å): 4.676 7.704 5.962
angles (deg): 90.00 106.45 90.00
Element x y z (fractional)
1 Tl 0.042 0.250 0.343
2 Tl 0.958 0.750 0.657
3 Hg 0.347 0.750 0.293
4 Hg 0.653 0.250 0.707
5 Au 0.220 0.066 0.900
6 Au 0.220 0.434 0.900
7 Au 0.780 0.566 0.100
8 Au 0.780 0.934 0.100

Output
Energy of formation = 0.07 eV/atom
Energy relative to the lowest polymorph listed for this composition = 68 meV/atom
Crystal system = monoclinic
DOS at the Fermi energy = 0.74 states/eV/f.u.



DFT (PBE) results for a relaxed Tl6Hg5Au crystal.

a b c (Å): 9.154 9.154 9.154
angles (deg): 147.60 123.19 66.94
Element x y z (fractional)
1 Tl 0.067 0.341 0.726
2 Tl 0.208 0.000 0.208
3 Tl 0.385 0.659 0.726
4 Tl 0.615 0.341 0.274
5 Tl 0.792 0.000 0.792
6 Tl 0.933 0.659 0.274
7 Hg 0.193 0.193 0.000
8 Hg 0.351 0.851 0.500
9 Hg 0.500 0.500 0.000
10 Hg 0.649 0.149 0.500
11 Hg 0.807 0.807 0.000
12 Au 0.000 0.500 0.500

Output
Energy of formation = -0.02 eV/atom
Crystal system = orthorhombic
DOS at the Fermi energy = 3.37 states/eV/f.u.



DFT (PBE) results for a relaxed Tl17Hg11Au crystal.

a b c (Å): 10.295 10.295 10.240
angles (deg): 109.51 109.51 109.39
Element x y z (fractional)
1 Tl 0.000 0.000 0.000
2 Tl 0.004 0.004 0.641
3 Tl 0.004 0.632 0.003
4 Tl 0.008 0.391 0.671
5 Tl 0.304 0.613 0.619
6 Tl 0.319 0.709 0.327
7 Tl 0.321 0.321 0.698
8 Tl 0.339 0.339 0.356
9 Tl 0.391 0.008 0.671
10 Tl 0.418 0.676 0.017
11 Tl 0.601 0.601 0.318
12 Tl 0.613 0.304 0.619
13 Tl 0.632 0.004 0.003
14 Tl 0.671 0.996 0.409
15 Tl 0.676 0.418 0.017
16 Tl 0.709 0.319 0.327
17 Tl 0.996 0.671 0.409
18 Hg 0.003 0.366 0.200
19 Hg 0.146 0.963 0.339
20 Hg 0.186 0.365 0.997
21 Hg 0.201 0.815 0.829
22 Hg 0.365 0.186 0.997
23 Hg 0.366 0.003 0.200
24 Hg 0.646 0.838 0.659
25 Hg 0.668 0.668 0.876
26 Hg 0.815 0.201 0.829
27 Hg 0.838 0.646 0.659
28 Hg 0.963 0.146 0.339
29 Au 0.796 0.796 0.227

Output
Energy of formation = 0.00 eV/atom
Crystal system = monoclinic
DOS at the Fermi energy = 9.05 states/eV/f.u.



DFT (PBE) results for a relaxed TlHg7Au5 crystal.

a b c (Å): 7.752 7.752 7.752
angles (deg): 136.75 95.91 99.72
Element x y z (fractional)
1 Tl 0.000 0.000 0.000
2 Hg 0.152 0.480 0.672
3 Hg 0.230 0.730 0.500
4 Hg 0.315 0.987 0.328
5 Hg 0.357 0.357 0.000
6 Hg 0.659 0.987 0.672
7 Hg 0.662 0.662 0.000
8 Hg 0.807 0.480 0.328
9 Au 0.486 0.486 0.502
10 Au 0.486 0.985 0.001
11 Au 0.730 0.230 0.500
12 Au 0.984 0.486 0.999
13 Au 0.984 0.985 0.498

Output
Energy of formation = 0.05 eV/atom
Crystal system = orthorhombic
DOS at the Fermi energy = 4.19 states/eV/f.u.



DFT (PBE) results for a relaxed TlHg2Au9 crystal.

a b c (Å): 9.842 9.842 9.842
angles (deg): 33.30 33.30 33.30
Element x y z (fractional)
1 Tl 0.000 0.000 0.000
2 Hg 0.138 0.138 0.138
3 Hg 0.862 0.862 0.862
4 Au 0.082 0.587 0.587
5 Au 0.333 0.333 0.333
6 Au 0.413 0.413 0.918
7 Au 0.413 0.918 0.413
8 Au 0.500 0.500 0.500
9 Au 0.587 0.082 0.587
10 Au 0.587 0.587 0.082
11 Au 0.667 0.667 0.667
12 Au 0.918 0.413 0.413

Output
Energy of formation = 0.02 eV/atom
Crystal system = trigonal
DOS at the Fermi energy = 3.19 states/eV/f.u.



DFT (PBE) results for a relaxed Tl16HgAu12 crystal.

a b c (Å): 9.342 9.342 10.097
angles (deg): 105.11 105.11 106.15
Element x y z (fractional)
1 Tl 0.000 0.000 0.000
2 Tl 0.016 0.016 0.638
3 Tl 0.193 0.593 0.377
4 Tl 0.204 0.968 0.313
5 Tl 0.366 0.616 0.729
6 Tl 0.387 0.985 0.667
7 Tl 0.390 0.684 0.145
8 Tl 0.566 0.997 0.032
9 Tl 0.593 0.193 0.377
10 Tl 0.616 0.366 0.729
11 Tl 0.644 0.644 0.467
12 Tl 0.684 0.390 0.145
13 Tl 0.719 0.719 0.036
14 Tl 0.968 0.204 0.313
15 Tl 0.985 0.387 0.667
16 Tl 0.997 0.566 0.032
17 Hg 0.324 0.324 0.244
18 Au 0.059 0.700 0.602
19 Au 0.116 0.309 0.941
20 Au 0.207 0.790 0.918
21 Au 0.260 0.260 0.576
22 Au 0.309 0.116 0.941
23 Au 0.417 0.417 0.914
24 Au 0.664 0.857 0.766
25 Au 0.700 0.059 0.602
26 Au 0.725 0.921 0.329
27 Au 0.790 0.207 0.918
28 Au 0.857 0.664 0.766
29 Au 0.921 0.725 0.329

Output
Energy of formation = 0.01 eV/atom
Crystal system = monoclinic
DOS at the Fermi energy = 9.99 states/eV/f.u.



DFT (PBE) results for a relaxed Tl8HgAu4 crystal.

a b c (Å): 8.240 8.240 8.240
angles (deg): 60.00 60.00 60.00
Element x y z (fractional)
1 Tl 0.106 0.106 0.106
2 Tl 0.106 0.106 0.683
3 Tl 0.106 0.683 0.106
4 Tl 0.180 0.607 0.607
5 Tl 0.607 0.180 0.607
6 Tl 0.607 0.607 0.180
7 Tl 0.607 0.607 0.607
8 Tl 0.683 0.106 0.106
9 Hg 0.750 0.750 0.750
10 Au 0.355 0.355 0.355
11 Au 0.355 0.355 0.936
12 Au 0.355 0.936 0.355
13 Au 0.936 0.355 0.355

Output
Energy of formation = 0.05 eV/atom
Energy relative to the lowest polymorph listed for this composition = 50 meV/atom
Crystal system = cubic
DOS at the Fermi energy = 4.62 states/eV/f.u.



DFT (PBE) results for a relaxed Tl12Hg2Au7 crystal.

a b c (Å): 12.326 12.326 4.427
angles (deg): 90.00 90.00 120.00
Element x y z (fractional)
1 Tl 0.033 0.223 0.000
2 Tl 0.147 0.688 0.500
3 Tl 0.190 0.967 0.000
4 Tl 0.312 0.459 0.500
5 Tl 0.385 0.201 0.500
6 Tl 0.541 0.853 0.500
7 Tl 0.543 0.113 0.000
8 Tl 0.570 0.457 0.000
9 Tl 0.777 0.810 0.000
10 Tl 0.799 0.184 0.500
11 Tl 0.816 0.615 0.500
12 Tl 0.887 0.430 0.000
13 Hg 0.000 0.000 0.500
14 Hg 0.333 0.667 0.000
15 Au 0.053 0.412 0.500
16 Au 0.291 0.282 0.000
17 Au 0.358 0.947 0.500
18 Au 0.588 0.642 0.500
19 Au 0.667 0.333 0.500
20 Au 0.718 0.009 0.000
21 Au 0.991 0.709 0.000

Output
Energy of formation = -0.01 eV/atom
Crystal system = hexagonal
DOS at the Fermi energy = 8.39 states/eV/f.u.



DFT (PBE) results for a relaxed Tl2HgAu2 crystal.

a b c (Å): 7.668 7.668 4.296
angles (deg): 90.00 90.00 90.00
Element x y z (fractional)
1 Tl 0.168 0.332 0.000
2 Tl 0.332 0.832 0.000
3 Tl 0.668 0.168 0.000
4 Tl 0.832 0.668 0.000
5 Hg 0.000 0.000 0.500
6 Hg 0.500 0.500 0.500
7 Au 0.134 0.634 0.500
8 Au 0.366 0.134 0.500
9 Au 0.634 0.866 0.500
10 Au 0.866 0.366 0.500

Output
Energy of formation = -0.01 eV/atom
Energy relative to the lowest polymorph listed for this composition = 0 meV/atom
Crystal system = tetragonal
DOS at the Fermi energy = 1.93 states/eV/f.u.